First-principles (GGA-PBEsol) data for crystalline ZrNiMo2 at its relaxed geometry, as listed in Alexandria via LeMat-Bulk.

Cell lengths 3.2740, 4.2856, 5.1892 Å; angles 114.39, 108.39, 90.00 degrees
Element x y z (fractional)
Zr1 0.0000 0.5000 0.0000
Mo1 0.7513 0.7513 0.5026
Mo2 0.2487 0.2487 0.4974
Ni1 0.5000 0.0000 0.0000

Output
ΔH_f (0 K) in eV/atom: 0.098
Spin magnetization in μB/f.u.: 0.00